1.
VASP calculation (meta-GGA SCAN) on BeNiSn3 at its PBEsol-relaxed geometry.

Distance to the lowest polymorph of the same formula   0.00 eV per formula unit
E_tot   -125.267 eV/cell

abc: 4.869 4.869 4.869
angles: 90.00 90.00 90.00
Space group Pm-3m (No. 221)
One atom of each set of equivalent atoms:
Be (0.000, 0.000, 0.000) (multiplicity 1)
Ni (0.500, 0.500, 0.500) (multiplicity 1)
Sn (0.000, 0.500, 0.500) (multiplicity 3)


2.
VASP calculation (meta-GGA SCAN) on SrBe2Ni at its PBEsol-relaxed geometry.

Distance to the lowest polymorph of the same formula   3.84 eV per formula unit
E_tot   -43.607 eV/cell

abc: 3.230 4.210 4.667
angles: 90.00 90.00 90.00
Space group Pmmm (No. 47)
One atom of each set of equivalent atoms:
Sr (0.000, 0.000, 0.000) (multiplicity 1)
Be (0.000, 0.500, 0.500) (multiplicity 1)
Be (0.500, 0.000, 0.500) (multiplicity 1)
Ni (0.500, 0.500, 0.000) (multiplicity 1)


3.
VASP calculation (meta-GGA SCAN) on SrBe2Ni at its PBEsol-relaxed geometry.

Distance to the lowest polymorph of the same formula   3.09 eV per formula unit
E_tot   -88.713 eV/cell

abc: 4.161 4.161 7.108
angles: 90.00 90.00 90.00
Space group I4/mmm (No. 139)
One atom of each set of equivalent atoms:
Sr (0.000, 0.000, 0.000) (multiplicity 2)
Be (0.000, 0.500, 0.250) (multiplicity 4)
Ni (0.000, 0.000, 0.500) (multiplicity 2)


Number 1: energy of formation from the pure elements 0.605 eV/atom. Number 2: energy of formation from the pure elements 0.887 eV/atom. Number 3: energy of formation from the pure elements 0.700 eV/atom.